This record from the Alexandria database describes a relaxed Hg3SbP crystal. The functional is GGA-PBE.

The structure in extended XYZ format:
```
5
Lattice="5.135 0.000 0.000 0.000 5.135 0.000 0.000 0.000 5.135" Properties=species:S:1:pos:R:3 pbc="T T T"
Hg 0.000 0.000 2.568
Hg 0.000 2.568 0.000
Hg 2.568 0.000 0.000
Sb 2.568 2.568 2.568
P 0.000 0.000 0.000
```

## Properties
- ΔE_f (raw) (meV/atom) = 432
- E above lowest polymorph (eV per atom) = 0.0000
- space-group type = Pm-3m, No. 221

=====

This record from the Alexandria database describes a relaxed CsErTiS4 crystal. The functional is GGA-PBE.

The structure in extended XYZ format:
```
14
Lattice="6.596 0.000 0.000 0.000 6.880 0.000 -3.096 0.000 9.042" Properties=species:S:1:pos:R:3 pbc="T T T"
Cs 0.178 1.720 3.994
Cs 3.321 5.160 5.049
Er -1.024 1.720 8.659
Er 4.523 5.160 0.384
Ti 1.230 5.160 1.400
Ti 2.269 1.720 7.642
S -2.624 5.160 8.371
S -0.583 5.160 2.729
S 0.771 6.879 7.365
S 0.771 3.441 7.365
S 2.728 0.001 1.677
S 2.728 3.439 1.677
S 4.082 1.720 6.313
S 6.123 1.720 0.671
```

## Properties
- ΔE_f (raw) (meV/atom) = -1607
- space-group type = P2_1/m, No. 11

=====

This record from the Alexandria database describes a relaxed Re2GeIrCl crystal. The functional is GGA-PBE.

The structure in extended XYZ format:
```
5
Lattice="4.730 0.000 0.000 0.000 4.730 0.000 0.000 0.000 4.565" Properties=species:S:1:pos:R:3 pbc="T T T"
Re 0.000 2.365 0.000
Re 2.365 0.000 0.000
Ge 0.000 0.000 0.000
Ir 0.000 0.000 2.283
Cl 2.365 2.365 2.283
```

## Properties
- ΔE_f (raw) (meV/atom) = 2073
- space-group type = P4/mmm, No. 123

=====

This record from the Alexandria database describes a relaxed Hf2ScOs crystal. The functional is GGA-PBE.

The structure in extended XYZ format:
```
8
Lattice="-3.923 3.923 2.878 3.923 -3.923 2.878 3.923 3.923 -2.878" Properties=species:S:1:pos:R:3 pbc="T T T"
Hf 5.884 1.500 -0.720
Hf 1.500 1.961 0.720
Hf -1.961 2.423 2.159
Hf 2.423 1.961 3.598
Sc 3.923 0.000 1.439
Sc 0.000 0.000 2.878
Os 0.000 0.000 0.000
Os 0.000 3.923 1.439
```

## Properties
- E above lowest polymorph (eV per atom) = 0.4227
- space-group type = I-42d, No. 122

=====

This record from the Alexandria database describes a relaxed Li3Er3Te2O12 crystal. The functional is GGA-PBE.

The structure in extended XYZ format:
```
80
Lattice="-6.171 6.171 6.171 6.171 -6.171 6.171 6.171 6.171 -6.171" Properties=species:S:1:pos:R:3 pbc="T T T"
Li 9.257 1.543 0.000
Li 6.171 -3.086 4.628
Li 4.628 6.171 -3.086
Li 4.628 0.000 3.086
Li 3.086 4.628 0.000
Li 6.171 3.086 1.543
Li 0.000 3.086 4.628
Li 3.086 1.543 6.171
Li 1.543 6.171 3.086
Li 1.543 0.000 9.257
Li 0.000 9.257 1.543
Li -3.086 4.628 6.171
Er 3.086 1.543 0.000
Er 6.171 3.086 -1.543
Er 1.543 0.000 3.086
Er 7.714 0.000 3.086
Er 0.000 3.086 1.543
Er 3.086 -1.543 6.171
Er 3.086 7.714 0.000
Er 6.171 3.086 4.628
Er -1.543 6.171 3.086
Er 4.628 6.171 3.086
Er 0.000 3.086 7.714
Er 3.086 4.628 6.171
Te 0.000 0.000 0.000
Te 3.086 3.086 -3.086
Te 3.086 -3.086 3.086
Te 6.171 0.000 0.000
Te -3.086 3.086 3.086
Te 0.000 6.171 0.000
Te 0.000 0.000 6.171
Te 3.086 3.086 3.086
O 1.812 -0.312 0.666
O 7.445 3.752 -3.398
O 7.984 0.312 0.666
O 7.445 -2.419 3.398
O 5.859 -0.666 1.812
O 9.569 -1.273 2.419
O 0.666 1.812 -0.312
O 8.591 2.773 -1.273
O 3.752 3.398 -1.273
O 5.505 1.812 0.312
O -0.312 0.666 1.812
O 3.398 -1.273 3.752
O 5.859 5.505 -1.812
O 3.398 1.273 2.419
O 3.752 -3.398 7.445
O 5.505 -1.812 5.859
O 2.419 3.398 1.273
O 6.838 4.359 0.312
O 3.398 7.445 -2.419
O 5.859 0.666 4.359
O 1.812 5.859 -0.666
O 7.445 2.419 2.773
O 1.273 2.419 3.398
O 1.812 0.312 5.505
O 4.359 5.859 0.666
O 4.898 3.752 2.773
O -1.273 3.752 3.398
O 4.359 0.312 6.838
O 0.312 5.505 1.812
O 2.773 -1.273 8.591
O -0.666 1.812 5.859
O 3.752 2.773 4.898
O 0.666 7.984 0.312
O 2.419 9.569 -1.273
O 2.773 4.898 3.752
O 0.312 0.666 7.984
O 2.773 7.445 2.419
O 6.483 5.505 4.359
O 0.666 4.359 5.859
O 2.419 2.773 7.445
O -2.419 3.398 7.445
O 5.505 4.359 6.483
O -3.398 7.445 3.752
O 0.312 6.838 4.359
O -1.273 8.591 2.773
O -1.812 5.859 5.505
O -1.273 2.419 9.569
O 4.359 6.483 5.505
```

## Properties
- ΔE_f (raw) (meV/atom) = -2358
- space-group type = Ia-3d, No. 230

=====

This record from the Alexandria database describes a relaxed GdTmSc2 crystal. The functional is GGA-PBE.

The structure in extended XYZ format:
```
4
Lattice="0.000 3.809 3.809 3.809 0.000 3.809 3.809 3.809 0.000" Properties=species:S:1:pos:R:3 pbc="T T T"
Gd 0.000 0.000 0.000
Tm 3.809 3.809 3.809
Sc 1.904 1.904 1.904
Sc 5.713 5.713 5.713
```

## Properties
- E above lowest polymorph (eV per atom) = 0.0305
- space-group type = Fm-3m, No. 225

=====

This record from the Alexandria database describes a relaxed Sr2MgPaPt6 crystal. The functional is GGA-PBE.

The structure in extended XYZ format:
```
10
Lattice="2.848 1.644 8.611 -2.848 1.644 8.611 0.000 -3.289 8.611" Properties=species:S:1:pos:R:3 pbc="T T T"
Sr 0.000 0.000 5.280
Sr 0.000 0.000 20.555
Mg 0.000 0.000 12.917
Pa 0.000 0.000 0.000
Pt 0.000 -1.593 10.724
Pt -1.379 0.796 10.724
Pt -1.379 -0.796 15.110
Pt 1.379 0.796 10.724
Pt 1.379 -0.796 15.110
Pt 0.000 1.593 15.110
```

## Properties
- calculated total energy (eV per cell) = -57.51
- space-group type = R-3m, No. 166

=====

This record from the Alexandria database describes a relaxed As2SeCl crystal. The functional is GGA-PBE.

The structure in extended XYZ format:
```
4
Lattice="1.637 -2.910 0.000 1.637 2.910 0.000 0.000 0.000 9.565" Properties=species:S:1:pos:R:3 pbc="T T T"
As 0.000 0.000 0.000
As 1.637 0.000 2.589
Se 0.000 0.000 4.450
Cl 1.637 0.000 7.594
```

## Properties
- ΔE_f (raw) (meV/atom) = 315
- E above lowest polymorph (eV per atom) = 0.4472
- space-group type = Cmm2, No. 35

=====

This record from the Alexandria database describes a relaxed Y3P crystal. The functional is GGA-PBE.

The structure in extended XYZ format:
```
4
Lattice="-1.836 2.561 5.660 1.836 -2.561 5.660 1.836 2.561 -5.660" Properties=species:S:1:pos:R:3 pbc="T T T"
Y 0.000 0.000 0.000
Y 1.836 0.000 3.478
Y 0.000 2.561 2.181
P 0.000 0.000 5.660
```

## Properties
- E above lowest polymorph (eV per atom) = 0.1341
- space-group type = Immm, No. 71

=====

This record from the Alexandria database describes a relaxed La2Tb3In4 crystal. The functional is GGA-PBE.

The structure in extended XYZ format:
```
18
Lattice="3.572 -8.542 0.000 3.572 8.542 0.000 0.000 0.000 9.128" Properties=species:S:1:pos:R:3 pbc="T T T"
La 3.572 6.693 8.420
La 3.572 1.849 3.856
La 3.572 -1.849 5.273
La 3.572 -6.693 0.709
Tb 0.000 0.000 4.564
Tb 1.786 3.777 6.846
Tb 1.786 -3.777 2.282
Tb 3.572 0.000 0.000
Tb 5.358 3.777 6.846
Tb 5.358 -3.777 2.282
In 3.572 5.450 4.914
In 1.786 0.692 6.846
In 1.786 -0.692 2.282
In 3.572 3.092 0.350
In 3.572 -3.092 8.779
In 5.358 0.692 6.846
In 5.358 -0.692 2.282
In 3.572 -5.450 4.215
```

## Properties
- E above lowest polymorph (eV per atom) = 0.0705
- space-group type = Cmce, No. 64

=====

This record from the Alexandria database describes a relaxed LiAg2Sn crystal. The functional is GGA-PBE.

The structure in extended XYZ format:
```
4
Lattice="4.345 0.000 0.000 0.000 4.345 0.000 0.000 0.000 3.962" Properties=species:S:1:pos:R:3 pbc="T T T"
Li 0.000 0.000 0.000
Ag 0.000 2.173 1.981
Ag 2.173 0.000 1.981
Sn 2.173 2.173 0.000
```

## Properties
- calculated total energy (eV per cell) = -12.32
- space-group type = P4/mmm, No. 123

=====

This record from the Alexandria database describes a relaxed PPb2Cl crystal. The functional is GGA-PBE.

The structure in extended XYZ format:
```
4
Lattice="0.000 3.680 3.680 3.680 0.000 3.680 3.680 3.680 0.000" Properties=species:S:1:pos:R:3 pbc="T T T"
P 0.000 0.000 0.000
Pb 1.840 1.840 1.840
Pb 5.520 5.520 5.520
Cl 3.680 3.680 3.680
```

## Properties
- ΔE_f (raw) (meV/atom) = -206
- E above lowest polymorph (eV per atom) = 0.2282
- space-group type = Fm-3m, No. 225

=====

This record from the Alexandria database describes a relaxed AlC2F crystal. The functional is GGA-PBE.

The structure in extended XYZ format:
```
8
Lattice="-2.193 2.193 5.240 2.193 -2.193 5.240 2.193 2.193 -5.240" Properties=species:S:1:pos:R:3 pbc="T T T"
Al 0.000 0.000 0.000
Al 0.000 2.193 2.620
C 3.289 1.013 -1.310
C 1.013 1.096 1.310
C -1.096 1.179 3.930
C 1.179 1.096 6.550
F 2.193 0.000 2.620
F 0.000 0.000 5.240
```

## Properties
- ΔE_f (raw) (meV/atom) = 1600
- E above lowest polymorph (eV per atom) = 0.0000
- space-group type = I-42d, No. 122

=====

This record from the Alexandria database describes a relaxed TbPrHo2Tl2 crystal. The functional is GGA-PBE.

The structure in extended XYZ format:
```
12
Lattice="5.148 0.000 0.000 0.000 10.103 0.000 0.000 0.000 6.831" Properties=species:S:1:pos:R:3 pbc="T T T"
Tb 0.000 1.941 0.000
Tb 0.000 8.161 3.416
Pr 2.574 0.424 1.877
Pr 2.574 9.679 5.293
Ho 0.000 4.616 2.516
Ho 0.000 5.487 5.932
Ho 2.574 3.222 4.460
Ho 2.574 6.881 1.044
Tl 0.000 1.432 3.672
Tl 0.000 8.670 0.256
Tl 2.574 3.733 0.785
Tl 2.574 6.370 4.200
```

## Properties
- calculated total energy (eV per cell) = -49.79
- space-group type = Pmc2_1, No. 26

=====

This record from the Alexandria database describes a relaxed Li2Ac3CuPd9 crystal. The functional is GGA-PBE.

The structure in extended XYZ format:
```
15
Lattice="6.814 0.000 0.000 -3.407 5.901 0.000 0.000 0.000 7.394" Properties=species:S:1:pos:R:3 pbc="T T T"
Li 0.000 3.934 1.051
Li 3.407 1.967 6.343
Ac 0.000 0.000 0.000
Ac 0.000 3.934 4.933
Ac 3.407 1.967 2.461
Cu 0.000 0.000 3.697
Pd -1.703 2.950 0.000
Pd 0.000 2.118 2.452
Pd -1.572 4.842 2.452
Pd 1.834 1.059 4.942
Pd 3.407 0.000 0.000
Pd 1.703 2.950 0.000
Pd 1.572 4.842 2.452
Pd 4.979 1.059 4.942
Pd 3.407 3.783 4.942
```

## Properties
- calculated total energy (eV per cell) = -74.09
- space-group type = P-3m1, No. 164

=====

This record from the Alexandria database describes a relaxed LiEu3SiCl3O4 crystal. The functional is GGA-PBE.

The structure in extended XYZ format:
```
48
Lattice="9.507 0.000 0.000 0.000 7.030 0.000 0.000 0.000 13.649" Properties=species:S:1:pos:R:3 pbc="T T T"
Li 0.000 0.000 0.000
Li 0.000 0.000 6.824
Li 4.754 0.000 0.000
Li 4.754 0.000 6.824
Eu 0.000 1.944 2.584
Eu 0.000 5.085 11.065
Eu 2.284 3.515 6.824
Eu 2.377 1.188 10.236
Eu 2.377 5.842 3.412
Eu 2.470 3.515 0.000
Eu 4.754 1.944 4.241
Eu 4.754 5.085 9.408
Eu 7.038 3.515 0.000
Eu 7.130 1.188 10.236
Eu 7.130 5.842 3.412
Eu 7.223 3.515 6.824
Si 0.000 2.060 12.130
Si 0.000 4.970 1.519
Si 4.754 2.060 8.343
Si 4.754 4.970 5.305
Cl 0.000 2.087 8.248
Cl 0.000 4.943 5.400
Cl 1.738 1.165 5.092
Cl 1.738 5.865 8.557
Cl 3.015 1.165 1.732
Cl 3.015 5.865 11.916
Cl 4.754 2.087 12.225
Cl 4.754 4.943 1.424
Cl 6.492 1.165 1.732
Cl 6.492 5.865 11.916
Cl 7.769 1.165 5.092
Cl 7.769 5.865 8.557
O 0.000 0.545 11.479
O 0.000 1.943 0.121
O 0.000 5.087 13.528
O 0.000 6.485 2.170
O 1.325 2.900 11.610
O 1.325 4.130 2.038
O 3.429 2.900 8.863
O 3.429 4.130 4.786
O 4.754 0.545 8.994
O 4.754 1.943 6.703
O 4.754 5.087 6.945
O 4.754 6.485 4.655
O 6.079 2.900 8.863
O 6.079 4.130 4.786
O 8.182 2.900 11.610
O 8.182 4.130 2.038
```

## Properties
- ΔE_f (raw) (meV/atom) = -2643
- space-group type = Pmna, No. 53

=====

This record from the Alexandria database describes a relaxed ScUTcRu crystal. The functional is GGA-PBE.

The structure in extended XYZ format:
```
4
Lattice="3.343 0.000 0.000 0.000 3.343 0.000 0.000 0.000 6.516" Properties=species:S:1:pos:R:3 pbc="T T T"
Sc 0.000 0.000 0.000
U 0.000 0.000 3.250
Tc 1.671 1.671 4.741
Ru 1.671 1.671 1.766
```

## Properties
- E above lowest polymorph (eV per atom) = 0.0000
- space-group type = P4mm, No. 99

=====

This record from the Alexandria database describes a relaxed La3In3Hg2Ru crystal. The functional is GGA-PBE.

The structure in extended XYZ format:
```
9
Lattice="7.713 0.000 0.000 -3.856 6.679 0.000 0.000 0.000 4.635" Properties=species:S:1:pos:R:3 pbc="T T T"
La -2.383 4.127 0.000
La 1.473 2.552 0.000
La 4.766 0.000 0.000
In -0.895 1.550 2.318
In 1.790 0.000 2.318
In 2.961 5.129 2.318
Hg 0.000 4.453 2.318
Hg 3.856 2.226 2.318
Ru 0.000 0.000 0.000
```

## Properties
- calculated total energy (eV per cell) = -37.09
- space-group type = P-62m, No. 189